# 1
# ZrRe2Te

A crystal of ZrRe2Te relaxed with PBEsol (SCAN, Alexandria).

Cell and atoms, written as POSCAR:
```
ZrRe2Te
1.0
-2.837 1.555 0.493
-1.103 -0.667 -4.248
-2.085 -4.185 1.198
Te Re Zr
1 2 1
direct
0.500 0.000 0.500
0.000 0.000 0.000
0.500 0.500 0.000
0.000 0.500 0.500
```

**Final energy**: -52.197 eV per atom
**Space group**: Pmmm
**Energy relative to the elements, uncorrected**: 340 meV per atom
**DOS(E_F)**: 0.705 states/eV per atom

---

# 2
# Li2MgTl

A crystal of Li2MgTl relaxed with PBEsol (SCAN, Alexandria).

Cell and atoms, written as POSCAR:
```
Li2MgTl
1.0
3.498 0.000 0.000
0.000 3.498 0.000
0.000 0.000 6.514
Li Mg Tl
2 1 1
direct
0.500 0.500 0.237
0.000 0.000 0.001
0.000 0.000 0.489
0.500 0.500 0.773
```

**Final energy**: -20.739 eV per atom
**Space group**: P4mm
**DOS(E_F)**: 0.345 states/eV per atom
**Calculated formation energy**: -0.84 eV/f.u.

---

# 3
# CrNiOs2

A crystal of CrNiOs2 relaxed with PBEsol (SCAN, Alexandria).

Cell and atoms, written as POSCAR:
```
CrNiOs2
1.0
3.594 0.000 0.000
0.000 3.725 0.000
0.000 0.000 3.725
Cr Os Ni
1 2 1
direct
0.500 0.500 0.500
0.000 0.500 0.000
0.000 0.000 0.500
0.500 0.000 0.000
```

**Final energy**: -44.546 eV per atom
**Space group**: P4/mmm
**DOS(E_F)**: 0.660 states/eV per atom
**Calculated formation energy**: 0.13 eV/f.u.

---

# 4
# Mn2GeHPb

A crystal of Mn2GeHPb relaxed with PBEsol (SCAN, Alexandria).

Cell and atoms, written as POSCAR:
```
Mn2GeHPb
1.0
-1.213 0.840 3.800
-0.594 -3.974 0.689
4.098 -0.372 1.390
Ge H Pb Mn
1 1 1 2
direct
0.000 0.000 0.500
0.000 0.000 0.000
0.500 0.500 0.500
0.000 0.500 0.000
0.500 0.000 0.000
```

**Final energy**: -26.730 eV per atom
**Space group**: P4/mmm
**DOS(E_F)**: 0.401 states/eV per atom

---

# 5
# TcPRuO2

A crystal of TcPRuO2 relaxed with PBEsol (SCAN, Alexandria).

Cell and atoms, written as POSCAR:
```
TcPRuO2
1.0
-1.530 -3.102 -1.057
2.546 -1.860 1.772
-3.047 0.009 4.387
Ru P O Tc
1 1 2 1
direct
0.500 0.500 0.500
0.000 0.000 0.500
0.000 0.500 0.000
0.500 0.000 0.000
0.000 0.000 0.000
```

**Final energy**: -18.915 eV per atom
**Space group**: P4/mmm
**Energy relative to the elements, uncorrected**: -365 meV per atom
**DOS(E_F)**: 0.464 states/eV per atom

---

# 6
# ScAl2Ag

A crystal of ScAl2Ag relaxed with PBEsol (SCAN, Alexandria).

Cell and atoms, written as POSCAR:
```
ScAl2Ag
1.0
4.155 0.000 0.000
0.000 4.155 0.000
-2.078 -2.078 4.039
Al Sc Ag
2 1 1
direct
0.500 0.500 0.000
0.750 0.250 0.500
0.000 0.000 0.000
0.250 0.750 0.500
```

**Final energy**: -15.570 eV per atom
**Space group**: I-4m2
**DOS(E_F)**: 0.490 states/eV per atom
**Calculated formation energy**: -1.17 eV/f.u.

---

# 7
# GdCo5P3

A crystal of GdCo5P3 relaxed with PBEsol (SCAN, Alexandria).

Cell and atoms, written as POSCAR:
```
GdCo5P3
1.0
3.598 0.000 0.000
0.000 10.191 0.000
0.000 0.000 11.597
Gd P Co
4 12 20
direct
0.750 0.084 0.797
0.250 0.584 0.703
0.750 0.416 0.297
0.250 0.916 0.203
0.750 0.103 0.109
0.750 0.772 0.629
0.750 0.916 0.389
0.250 0.416 0.111
0.250 0.897 0.891
0.250 0.272 0.871
0.750 0.728 0.129
0.750 0.584 0.889
0.750 0.397 0.609
0.250 0.228 0.371
0.250 0.603 0.391
0.250 0.084 0.611
0.250 0.407 0.488
0.750 0.781 0.824
0.750 0.969 0.568
0.250 0.031 0.432
0.250 0.716 0.991
0.750 0.719 0.324
0.250 0.784 0.491
0.750 0.284 0.009
0.250 0.469 0.932
0.750 0.383 0.802
0.250 0.617 0.198
0.750 0.593 0.512
0.750 0.907 0.012
0.750 0.531 0.068
0.250 0.883 0.698
0.750 0.216 0.509
0.750 0.117 0.302
0.250 0.219 0.176
0.250 0.281 0.676
0.250 0.093 0.988
```

**Final energy**: -20.363 eV per atom
**Space group**: Pnma
**DOS(E_F)**: 0.347 states/eV per atom
**Calculated formation energy**: -6.73 eV/f.u.

---

# 8
# HgAsSe2N

A crystal of HgAsSe2N relaxed with PBEsol (SCAN, Alexandria).

Cell and atoms, written as POSCAR:
```
HgAsSe2N
1.0
-2.114 -2.885 -1.746
1.030 -3.202 4.044
-4.336 1.695 2.447
Hg As Se N
1 1 2 1
direct
0.000 0.000 0.000
0.500 0.500 0.500
0.000 0.500 0.000
0.000 0.000 0.500
0.500 0.000 0.000
```

**Final energy**: -26.190 eV per atom
**Excess energy over the best structure of this formula in the dataset**: 592 meV/atom
**Space group**: P4/mmm
**Energy relative to the elements, uncorrected**: 1371 meV per atom
**DOS(E_F)**: 0.469 states/eV per atom

---

# 9
# CdGaP3

A crystal of CdGaP3 relaxed with PBEsol (SCAN, Alexandria).

Cell and atoms, written as POSCAR:
```
CdGaP3
1.0
4.928 0.000 0.000
0.000 4.928 0.000
0.000 0.000 4.928
P Cd Ga
3 1 1
direct
0.000 0.500 0.000
0.500 0.000 0.000
0.000 0.000 0.500
0.000 0.000 0.000
0.500 0.500 0.500
```

**Final energy**: -14.241 eV per atom
**Space group**: Pm-3m
**DOS(E_F)**: 1.101 states/eV per atom
**Calculated formation energy**: 6.75 eV/f.u.

---

# 10
# TaCu2Mo

A crystal of TaCu2Mo relaxed with PBEsol (SCAN, Alexandria).

Cell and atoms, written as POSCAR:
```
TaCu2Mo
1.0
-1.072 1.570 1.952
-0.416 -1.019 2.493
7.695 2.765 3.903
Cu Ta Mo
2 1 1
direct
0.746 0.746 0.763
0.006 0.006 0.983
0.255 0.255 0.236
0.494 0.494 0.518
```

**Final energy**: -32.667 eV per atom
**Excess energy over the best structure of this formula in the dataset**: 165 meV/atom
**Space group**: R3m
**DOS(E_F)**: 0.704 states/eV per atom
**Calculated formation energy**: 1.20 eV/f.u.

---

# 11
# CrCo4

A crystal of CrCo4 relaxed with PBEsol (SCAN, Alexandria).

Cell and atoms, written as POSCAR:
```
CrCo4
1.0
3.431 0.000 0.000
1.716 3.864 0.000
1.716 0.000 3.864
Co Cr
4 1
direct
0.600 0.201 0.600
0.801 0.600 0.799
0.400 0.799 0.400
0.199 0.400 0.201
0.000 0.000 0.000
```

**Final energy**: -17.388 eV per atom
**Space group**: I4/m
**DOS(E_F)**: 0.893 states/eV per atom
**Calculated formation energy**: 0.66 eV/f.u.

---

# 12
# RbAu3N

A crystal of RbAu3N relaxed with PBEsol (SCAN, Alexandria).

Cell and atoms, written as POSCAR:
```
RbAu3N
1.0
4.592 0.000 0.000
0.000 4.592 0.000
0.000 0.000 4.592
Au N Rb
3 1 1
direct
0.500 0.000 0.000
0.000 0.500 0.000
0.000 0.000 0.500
0.000 0.000 0.000
0.500 0.500 0.500
```

**Final energy**: -46.967 eV per atom
**Space group**: Pm-3m
**Energy relative to the elements, uncorrected**: 533 meV per atom
**DOS(E_F)**: 0.342 states/eV per atom

---

# 13
# Li2UN2

A crystal of Li2UN2 relaxed with PBEsol (SCAN, Alexandria).

Cell and atoms, written as POSCAR:
```
Li2UN2
1.0
3.440 0.000 0.000
-1.720 2.979 0.000
0.000 0.000 5.483
Li N U
2 2 1
direct
0.667 0.333 0.392
0.333 0.667 0.608
0.333 0.667 0.224
0.667 0.333 0.776
0.000 0.000 0.000
```

**Final energy**: -26.377 eV per atom
**Space group**: P-3m1
**Energy relative to the elements, uncorrected**: -999 meV per atom
**DOS(E_F)**: 0.847 states/eV per atom

---

# 14
# SrIn2As

A crystal of SrIn2As relaxed with PBEsol (SCAN, Alexandria).

Cell and atoms, written as POSCAR:
```
SrIn2As
1.0
-1.149 2.853 2.195
0.362 -2.947 4.019
5.613 1.622 -2.422
In Sr As
2 1 1
direct
0.712 0.712 0.424
0.288 0.288 0.576
0.500 0.000 0.000
0.000 0.500 0.000
```

**Final energy**: -27.803 eV per atom
**Space group**: Immm
**DOS(E_F)**: 0.317 states/eV per atom
**Calculated formation energy**: -1.97 eV/f.u.

---

# 15
# TaNb2Ge2

A crystal of TaNb2Ge2 relaxed with PBEsol (SCAN, Alexandria).

Cell and atoms, written as POSCAR:
```
TaNb2Ge2
1.0
-3.217 -1.012 1.021
1.292 -6.324 -2.201
2.466 -1.635 6.145
Nb Ge Ta
4 4 2
direct
0.500 0.668 0.832
0.500 0.168 0.668
0.500 0.332 0.168
0.500 0.832 0.332
0.000 0.133 0.367
0.000 0.633 0.133
0.000 0.367 0.867
0.000 0.867 0.633
0.000 0.500 0.500
0.000 0.000 0.000
```

**Final energy**: -34.700 eV per atom
**Space group**: P4/mbm
**DOS(E_F)**: 0.561 states/eV per atom
**Calculated formation energy**: -2.48 eV/f.u.

---

# 16
# LaSeCl2

A crystal of LaSeCl2 relaxed with PBEsol (SCAN, Alexandria).

Cell and atoms, written as POSCAR:
```
LaSeCl2
1.0
4.395 0.000 0.000
0.000 4.505 0.000
0.000 0.000 4.492
La Se Cl
1 1 2
direct
0.500 0.500 0.000
0.000 0.500 0.500
0.000 0.000 0.000
0.500 0.000 0.500
```

**Final energy**: -21.512 eV per atom
**Excess energy over the best structure of this formula in the dataset**: 0 meV/atom
**Space group**: Pmmm
**Energy relative to the elements, uncorrected**: -1728 meV per atom
**DOS(E_F)**: 0.246 states/eV per atom

---

# 17
# Ba3Hg

A crystal of Ba3Hg relaxed with PBEsol (SCAN, Alexandria).

Cell and atoms, written as POSCAR:
```
Ba3Hg
1.0
-2.149 0.552 -3.609
-1.985 -5.949 0.273
-3.360 4.671 5.201
Hg Ba
1 3
direct
0.000 0.583 0.000
0.697 0.780 0.394
0.500 0.083 0.000
0.303 0.386 0.606
```

**Final energy**: -47.006 eV per atom
**Excess energy over the best structure of this formula in the dataset**: 48 meV/atom
**Space group**: Immm
**DOS(E_F)**: 1.197 states/eV per atom
**Calculated formation energy**: -1.21 eV/f.u.

---

# 18
# ZnAuSe

A crystal of ZnAuSe relaxed with PBEsol (SCAN, Alexandria).

Cell and atoms, written as POSCAR:
```
ZnAuSe
1.0
2.911 0.000 0.000
0.000 2.911 0.000
-1.455 -1.455 6.364
Se Zn Au
1 1 1
direct
0.688 0.688 0.376
0.339 0.339 0.678
0.973 0.973 0.946
```

**Final energy**: -34.131 eV per atom
**Space group**: I4mm
**Energy relative to the elements, uncorrected**: 119 meV per atom
**DOS(E_F)**: 0.369 states/eV per atom

---

# 19
# YTaCd2

A crystal of YTaCd2 relaxed with PBEsol (SCAN, Alexandria).

Cell and atoms, written as POSCAR:
```
YTaCd2
1.0
-2.105 0.435 2.285
0.995 -3.774 1.636
4.498 2.755 3.618
Ta Cd Y
1 2 1
direct
0.000 0.000 0.487
0.000 0.000 0.014
0.500 0.500 0.256
0.500 0.500 0.743
```

**Final energy**: -38.587 eV per atom
**Space group**: Pmm2
**DOS(E_F)**: 0.594 states/eV per atom
**Calculated formation energy**: 0.91 eV/f.u.

---

# 20
# Hf2CrCo

A crystal of Hf2CrCo relaxed with PBEsol (SCAN, Alexandria).

Cell and atoms, written as POSCAR:
```
Hf2CrCo
1.0
4.418 0.000 0.000
2.209 3.826 0.000
2.209 1.275 3.607
Cr Co Hf
1 1 2
direct
0.000 0.000 0.000
0.500 0.500 0.500
0.250 0.250 0.250
0.750 0.750 0.750
```

**Final energy**: -40.421 eV per atom
**Space group**: Fm-3m
**DOS(E_F)**: 0.841 states/eV per atom
**Calculated formation energy**: -0.65 eV/f.u.

---

# 21
# MgOsSe2

A crystal of MgOsSe2 relaxed with PBEsol (SCAN, Alexandria).

Cell and atoms, written as POSCAR:
```
MgOsSe2
1.0
2.992 0.000 0.000
0.000 2.992 0.000
0.000 0.000 8.341
Os Mg Se
1 1 2
direct
0.500 0.500 0.763
0.000 0.000 0.522
0.000 0.000 0.922
0.500 0.500 0.292
```

**Final energy**: -29.370 eV per atom
**Space group**: P4mm
**Energy relative to the elements, uncorrected**: -117 meV per atom
**DOS(E_F)**: 0.408 states/eV per atom

---

# 22
# Na2Ca2H

A crystal of Na2Ca2H relaxed with PBEsol (SCAN, Alexandria).

Cell and atoms, written as POSCAR:
```
Na2Ca2H
1.0
-2.917 4.925 -3.436
-5.991 -1.630 2.749
1.189 4.284 5.132
Na Ca H
4 4 2
direct
0.500 0.334 0.166
0.500 0.166 0.666
0.500 0.666 0.834
0.500 0.834 0.334
0.000 0.808 0.692
0.000 0.308 0.808
0.000 0.692 0.192
0.000 0.192 0.308
0.000 0.500 0.500
0.000 0.000 0.000
```

**Final energy**: -6.206 eV per atom
**Excess energy over the best structure of this formula in the dataset**: 0 meV/atom
**Space group**: P4/mbm
**DOS(E_F)**: 0.537 states/eV per atom

---

# 23
# MnCdTe2

A crystal of MnCdTe2 relaxed with PBEsol (SCAN, Alexandria).

Cell and atoms, written as POSCAR:
```
MnCdTe2
1.0
4.203 0.000 0.000
2.102 3.640 0.000
2.102 1.213 6.632
Cd Te Mn
1 2 1
direct
0.509 0.509 0.474
0.771 0.771 0.688
0.973 0.973 0.081
0.248 0.248 0.256
```

**Final energy**: -30.950 eV per atom
**Space group**: R3m
**Energy relative to the elements, uncorrected**: -157 meV per atom
**DOS(E_F)**: 0.446 states/eV per atom

---

# 24
# MgTaTl2

A crystal of MgTaTl2 relaxed with PBEsol (SCAN, Alexandria).

Cell and atoms, written as POSCAR:
```
MgTaTl2
1.0
3.014 0.000 0.000
0.000 5.263 0.000
0.000 0.000 5.407
Tl Mg Ta
2 1 1
direct
0.000 0.237 0.500
0.500 0.001 0.000
0.000 0.528 0.000
0.500 0.734 0.500
```

**Final energy**: -53.697 eV per atom
**Space group**: Pmm2
**DOS(E_F)**: 0.594 states/eV per atom
**Calculated formation energy**: 1.49 eV/f.u.

---

# 25
# Re2POs

A crystal of Re2POs relaxed with PBEsol (SCAN, Alexandria).

Cell and atoms, written as POSCAR:
```
Re2POs
1.0
3.632 0.000 0.000
0.000 3.632 0.000
0.000 0.000 4.242
Re P Os
2 1 1
direct
0.500 0.000 0.000
0.000 0.500 0.000
0.000 0.000 0.500
0.500 0.500 0.500
```

**Final energy**: -55.435 eV per atom
**Space group**: P4/mmm
**DOS(E_F)**: 1.102 states/eV per atom
**Calculated formation energy**: 2.74 eV/f.u.

---

# 26
# Sr2ZnRe

A crystal of Sr2ZnRe relaxed with PBEsol (SCAN, Alexandria).

Cell and atoms, written as POSCAR:
```
Sr2ZnRe
1.0
2.985 0.000 0.000
0.000 5.677 0.000
0.000 0.000 5.677
Sr Zn Re
2 1 1
direct
0.000 0.500 0.000
0.000 0.000 0.500
0.500 0.500 0.500
0.500 0.000 0.000
```

**Final energy**: -31.486 eV per atom
**Space group**: P4/mmm
**DOS(E_F)**: 0.740 states/eV per atom
**Calculated formation energy**: 3.22 eV/f.u.

---

# 27
# CsLi3Pd

A crystal of CsLi3Pd relaxed with PBEsol (SCAN, Alexandria).

Cell and atoms, written as POSCAR:
```
CsLi3Pd
1.0
5.131 0.000 0.000
0.000 5.131 0.000
0.000 0.000 5.131
Cs Li Pd
1 3 1
direct
0.500 0.500 0.500
0.000 0.000 0.500
0.500 0.000 0.000
0.000 0.500 0.000
0.000 0.000 0.000
```

**Final energy**: -15.566 eV per atom
**Space group**: Pm-3m
**DOS(E_F)**: 0.526 states/eV per atom
**Calculated formation energy**: -0.07 eV/f.u.

---

# 28
# AlZn2Se

A crystal of AlZn2Se relaxed with PBEsol (SCAN, Alexandria).

Cell and atoms, written as POSCAR:
```
AlZn2Se
1.0
-3.436 -1.376 2.828
0.944 -1.190 4.404
-1.376 2.747 3.501
Al Se Zn
1 1 2
direct
0.000 0.000 0.000
0.500 0.500 0.500
0.750 0.750 0.750
0.250 0.250 0.250
```

**Final energy**: -13.368 eV per atom
**Excess energy over the best structure of this formula in the dataset**: 169 meV/atom
**Space group**: Fm-3m
**Energy relative to the elements, uncorrected**: 348 meV per atom
**DOS(E_F)**: 0.275 states/eV per atom